(1)
Below is Er4NiPt3 after structural relaxation, with properties calculated at the GGA-PBE level.

Lattice parameters (Å, degrees): 3.715 4.410 10.384 90.00 90.00 90.00
Fractional positions:
Pt 0.000 0.000 0.410
Pt 0.500 0.000 0.922
Pt 0.000 0.500 0.590
Er 0.000 0.000 0.137
Er 0.500 0.000 0.640
Er 0.500 0.500 0.357
Er 0.000 0.500 0.865
Ni 0.500 0.500 0.079

Calculated values
M_tot = 0.0 μB/cell
density = 12.8 Mg/m³
V = 170 Å³/cell
energy relative to the elements = -1105 meV/atom

***

(2)
Below is Ni3SbRh after structural relaxation, with properties calculated at the GGA-PBE level.

Lattice parameters (Å, degrees): 4.534 4.534 4.534 90.00 90.00 90.00
Site moments in Bohr magnetons follow the coordinates.
Fractional positions:
Ni 0.000 0.500 0.000  0.71
Ni 0.000 0.000 0.500  1.12
Ni 0.500 0.000 0.000  0.38
Sb 0.500 0.500 0.500  -0.01
Rh 0.000 0.000 0.000  0.96

Calculated values
M_tot = 3.1 μB/cell
polymorph energy (0 for the lowest one) = 0.000 eV/atom
raw formation energy = 981 meV per atom
density = 7.1 Mg/m³
V = 93 Å³/cell

***

(3)
Below is Co2SiAg after structural relaxation, with properties calculated at the GGA-PBE level.

Lattice parameters (Å, degrees): 8.506 8.506 8.506 18.30 18.30 18.30
Site moments in Bohr magnetons follow the coordinates.
Fractional positions:
Co 0.990 0.990 0.990  1.70
Co 0.249 0.249 0.249  0.90
Si 0.511 0.511 0.511  -0.01
Ag 0.750 0.750 0.750  -0.02

Calculated values
M_tot = 2.5 μB/cell
raw formation energy = 187 meV per atom
density = 8.0 Mg/m³
V = 53 Å³/cell

***

(4)
Below is Ce3SmRh after structural relaxation, with properties calculated at the GGA-PBE level.

Lattice parameters (Å, degrees): 7.205 9.124 9.554 123.13 90.00 90.00
Fractional positions:
Ce 0.129 0.630 0.593
Ce 0.996 0.727 0.901
Ce 0.371 0.630 0.093
Ce 0.911 0.929 0.701
Ce 0.496 0.273 0.599
Ce 0.629 0.370 0.907
Ce 0.871 0.370 0.407
Ce 0.504 0.727 0.401
Ce 0.004 0.273 0.099
Ce 0.411 0.071 0.799
Ce 0.589 0.929 0.201
Ce 0.089 0.071 0.299
Rh 0.780 0.037 0.510
Rh 0.280 0.963 0.990
Rh 0.220 0.963 0.490
Rh 0.720 0.037 0.010
Sm 0.063 0.327 0.739
Sm 0.563 0.673 0.761
Sm 0.437 0.327 0.239
Sm 0.937 0.673 0.261

Calculated values
M_tot = 0.2 μB/cell
density = 8.5 Mg/m³
V = 526 Å³/cell
energy relative to the elements = -195 meV/atom

***

(5)
Below is Sn2BiPb8 after structural relaxation, with properties calculated at the GGA-PBE level.

Lattice parameters (Å, degrees): 5.208 7.806 9.175 106.52 106.49 90.00
Fractional positions:
Pb 0.048 0.726 0.096
Pb 0.316 0.085 0.632
Pb 0.863 0.812 0.725
Pb 0.137 0.188 0.275
Pb 0.405 0.543 0.810
Pb 0.595 0.457 0.190
Pb 0.952 0.274 0.904
Pb 0.684 0.915 0.368
Bi 0.500 0.000 0.000
Sn 0.772 0.367 0.544
Sn 0.228 0.633 0.456

Calculated values
M_tot = 0.0 μB/cell
polymorph energy (0 for the lowest one) = 0.000 eV/atom
density = 10.2 Mg/m³
V = 342 Å³/cell
energy relative to the elements = 25 meV/atom

***

(6)
Below is CsCaTc3 after structural relaxation, with properties calculated at the GGA-PBE level.

Lattice parameters (Å, degrees): 5.329 5.329 5.329 90.00 90.00 90.00
Site moments in Bohr magnetons follow the coordinates.
Fractional positions:
Tc 0.500 0.000 0.000  2.83
Tc 0.000 0.000 0.500  2.49
Tc 0.000 0.500 0.000  2.73
Ca 0.000 0.000 0.000  -0.02
Cs 0.500 0.500 0.500  0.05

Calculated values
M_tot = 9.1 μB/cell
polymorph energy (0 for the lowest one) = 0.022 eV/atom
density = 5.1 Mg/m³
V = 151 Å³/cell
energy relative to the elements = 2570 meV/atom

***

(7)
Below is CeTiCdPb after structural relaxation, with properties calculated at the GGA-PBE level.

Lattice parameters (Å, degrees): 5.203 5.203 5.203 60.00 60.00 60.00
Site moments in Bohr magnetons follow the coordinates.
Fractional positions:
Ce 0.500 0.500 0.500  0.93
Ti 0.000 0.000 0.000  1.51
Cd 0.750 0.750 0.750  0.03
Pb 0.250 0.250 0.250  -0.03

Calculated values
M_tot = 3.3 μB/cell
density = 8.5 Mg/m³
V = 100 Å³/cell
energy relative to the elements = -67 meV/atom

***

(8)
Below is AgPAu after structural relaxation, with properties calculated at the GGA-PBE level.

Lattice parameters (Å, degrees): 4.309 4.309 4.309 60.00 60.00 60.00
Fractional positions:
P 0.750 0.750 0.750
Ag 0.000 0.000 0.000
Au 0.500 0.500 0.500

Calculated values
M_tot = 0.0 μB/cell
polymorph energy (0 for the lowest one) = 0.000 eV/atom
density = 9.9 Mg/m³
V = 57 Å³/cell
energy relative to the elements = 189 meV/atom

***

(9)
Below is Zr2GaB2 after structural relaxation, with properties calculated at the GGA-PBE level.

Lattice parameters (Å, degrees): 6.132 6.132 3.620 90.00 90.00 90.00
Fractional positions:
Ga 0.000 0.000 0.000
Ga 0.500 0.500 0.000
B 0.101 0.399 0.000
B 0.601 0.101 0.000
B 0.899 0.601 0.000
B 0.399 0.899 0.000
Zr 0.181 0.681 0.500
Zr 0.319 0.181 0.500
Zr 0.681 0.819 0.500
Zr 0.819 0.319 0.500

Calculated values
M_tot = 0.0 μB/cell
density = 6.7 Mg/m³
V = 136 Å³/cell
energy relative to the elements = -609 meV/atom

***

(10)
Below is PmYHg2 after structural relaxation, with properties calculated at the GGA-PBE level.

Lattice parameters (Å, degrees): 3.742 3.742 7.665 90.00 90.00 90.00
Site moments in Bohr magnetons follow the coordinates.
Fractional positions:
Pm 0.500 0.500 0.500  0.20
Hg 0.000 0.000 0.237  0.01
Hg 0.000 0.000 0.763  0.01
Y 0.500 0.500 0.000  0.06

Calculated values
M_tot = 0.5 μB/cell
polymorph energy (0 for the lowest one) = 0.000 eV/atom
density = 9.8 Mg/m³
V = 107 Å³/cell
energy relative to the elements = -491 meV/atom

***

(11)
Below is CaMgPbI6 after structural relaxation, with properties calculated at the GGA-PBE level.

Lattice parameters (Å, degrees): 7.773 7.773 14.092 90.00 90.00 120.00
Fractional positions:
I 0.657 0.018 0.871
I 0.343 0.362 0.371
I 0.362 0.343 0.871
I 0.657 0.638 0.629
I 0.343 0.982 0.129
I 0.638 0.982 0.371
I 0.982 0.343 0.629
I 0.982 0.638 0.871
I 0.018 0.657 0.371
I 0.638 0.657 0.129
I 0.018 0.362 0.129
I 0.362 0.018 0.629
Ca 0.667 0.333 0.250
Ca 0.333 0.667 0.750
Mg 0.667 0.333 0.750
Mg 0.333 0.667 0.250
Pb 0.000 0.000 0.000
Pb 0.000 0.000 0.500

Calculated values
M_tot = 0.0 μB/cell
raw formation energy = -1050 meV per atom
density = 4.7 Mg/m³
V = 737 Å³/cell

***

(12)
Below is Cd2IrPdO6 after structural relaxation, with properties calculated at the GGA-PBE level.

Lattice parameters (Å, degrees): 4.445 5.539 5.539 90.00 90.00 90.00
Fractional positions:
Cd 0.014 0.000 0.500
Cd 0.014 0.500 0.000
O 0.717 0.738 0.262
O 0.717 0.262 0.262
O 0.183 0.500 0.500
O 0.717 0.738 0.738
O 0.717 0.262 0.738
O 0.153 0.000 0.000
Ir 0.595 0.500 0.500
Pd 0.619 0.000 0.000

Calculated values
M_tot = 0.0 μB/cell
raw formation energy = -450 meV per atom
density = 7.5 Mg/m³
V = 136 Å³/cell

***

Question: Number 11 is which compound?
Answer: CaMgPbI6